Model one:
Density functional theory data (PBE-GGA) for a relaxed NdHoGaIr crystal.

Results
SG: No. 216

Cell lengths 5.0324, 5.0324, 5.0324 Å; angles 60.00, 60.00, 60.00 degrees
Closest atoms and distances in Å follow each position.
Fractional coordinates of all 4 atoms:
Nd 0.0000 0.0000 0.0000  4 Ir 3.08, 4 Ga 3.08
Ho 0.5000 0.5000 0.5000  4 Ir 3.08, 4 Ga 3.08
Ga 0.7500 0.7500 0.7500  4 Ho 3.08, 4 Nd 3.08
Ir 0.2500 0.2500 0.2500  4 Ho 3.08, 4 Nd 3.08

***

Model two:
Density functional theory data (PBE-GGA) for a relaxed NdHoGaIr crystal.

Results
SG: No. 38

Cell lengths 4.2271, 5.8055, 5.8055 Å; angles 41.56, 90.00, 90.00 degrees
Closest atoms and distances in Å follow each position.
Fractional coordinates of all 4 atoms:
Nd 0.0000 0.0000 0.0000  3 Ir 3.02-3.17, 4 Ga 3.08
Ho 0.5000 0.7172 0.7172  3 Ga 3.01-3.23, 4 Ir 3.02
Ga 0.5000 0.4193 0.4193  2 Ir 2.61
Ir 0.0000 0.2778 0.2778  2 Ga 2.61

***

Most stable structure: model two

***

Model one:
Density functional theory data (PBE-GGA) for a relaxed YHoGaIr crystal.

Results
SG: No. 216

Cell lengths 4.9499, 4.9499, 4.9499 Å; angles 60.00, 60.00, 60.00 degrees
Closest atoms and distances in Å follow each position.
Fractional coordinates of all 4 atoms:
Y 0.0000 0.0000 0.0000  4 Ir 3.03, 4 Ga 3.03
Ho 0.5000 0.5000 0.5000  4 Ga 3.03, 4 Ir 3.03
Ga 0.2500 0.2500 0.2500  4 Ho 3.03, 4 Y 3.03
Ir 0.7500 0.7500 0.7500  4 Ho 3.03, 4 Y 3.03

***

Model two:
Density functional theory data (PBE-GGA) for a relaxed YHoGaIr crystal.

Results
SG: No. 38

Cell lengths 4.2392, 5.7196, 5.7196 Å; angles 40.49, 90.00, 90.00 degrees
Closest atoms and distances in Å follow each position.
Fractional coordinates of all 4 atoms:
Y 0.0000 0.0000 0.0000  3 Ir 3.01-3.08, 4 Ga 3.01
Ho 0.5000 0.7166 0.7166  4 Ir 2.98, 3 Ga 2.99-3.12
Ga 0.5000 0.4256 0.4256  2 Ir 2.63
Ir 0.0000 0.2802 0.2802  2 Ga 2.63

***

Most stable structure: model two

***

Model one:
Density functional theory data (PBE-GGA) for a relaxed La2HoGa crystal.

Results
SG: No. 123

Cell lengths 3.7729, 3.7729, 8.6832 Å; angles 90.00, 90.00, 90.00 degrees
Closest atoms and distances in Å follow each position.
Fractional coordinates of all 4 atoms:
La 0.0000 0.0000 0.2096  4 Ga 3.23
La 0.0000 0.0000 0.7904  4 Ga 3.23
Ho 0.5000 0.5000 0.5000  8 La 3.67, 4 Ho 3.77
Ga 0.5000 0.5000 0.0000  8 La 3.23

***

Model two:
Density functional theory data (PBE-GGA) for a relaxed La2HoGa crystal.

Results
SG: No. 160

Cell lengths 10.8262, 10.8262, 10.8262 Å; angles 19.90, 19.90, 19.90 degrees
Closest atoms and distances in Å follow each position.
Fractional coordinates of all 4 atoms:
La 0.0000 0.0000 0.0000  3 Ga 3.18
La 0.1872 0.1872 0.1872  3 Ga 3.17
Ho 0.4271 0.4271 0.4271  6 La 3.68, 6 Ho 3.74
Ga 0.5936 0.5936 0.5936  6 La 3.17-3.18

***

Most stable structure: model one

***

Model one:
Density functional theory data (PBE-GGA) for a relaxed La2HoGa crystal.

Results
SG: No. 123

Cell lengths 4.7896, 4.7896, 4.9995 Å; angles 90.00, 90.00, 90.00 degrees
Closest atoms and distances in Å follow each position.
Fractional coordinates of all 4 atoms:
La 0.0000 0.5000 0.0000  4 La 3.39, 4 Ho 3.46, 4 Ga 3.46
La 0.5000 0.0000 0.0000  4 La 3.39, 4 Ho 3.46, 4 Ga 3.46
Ho 0.0000 0.0000 0.5000  4 Ga 3.39, 8 La 3.46
Ga 0.5000 0.5000 0.5000  4 Ho 3.39, 8 La 3.46

***

Model two:
Density functional theory data (PBE-GGA) for a relaxed La2HoGa crystal.

Results
SG: No. 225

Cell lengths 5.5114, 5.5114, 5.5114 Å; angles 60.00, 60.00, 60.00 degrees
Closest atoms and distances in Å follow each position.
Fractional coordinates of all 4 atoms:
La 0.2500 0.2500 0.2500  4 Ho 3.38, 4 Ga 3.38
La 0.7500 0.7500 0.7500  4 Ho 3.38, 4 Ga 3.38
Ho 0.0000 0.0000 0.0000  8 La 3.38
Ga 0.5000 0.5000 0.5000  8 La 3.38

***

Most stable structure: model one

***

Model one:
Density functional theory data (PBE-GGA) for a relaxed LaHo2Ga crystal.

Results
SG: No. 160

Cell lengths 6.4733, 6.4733, 6.4733 Å; angles 44.64, 44.64, 44.64 degrees
Closest atoms and distances in Å follow each position.
Fractional coordinates of all 4 atoms:
La 0.0000 0.0000 0.0000  4 Ga 3.39-3.74, 7 Ho 3.43-3.76
Ho 0.2153 0.2153 0.2153  3 Ga 3.14, 3 Ho 3.38, 3 La 3.51
Ho 0.4436 0.4436 0.4436  3 Ga 2.88
Ga 0.8057 0.8057 0.8057  6 Ho 2.88-3.14

***

Model two:
Density functional theory data (PBE-GGA) for a relaxed LaHo2Ga crystal.

Results
SG: No. 123

Cell lengths 3.5444, 3.5444, 9.0356 Å; angles 90.00, 90.00, 90.00 degrees
Closest atoms and distances in Å follow each position.
Fractional coordinates of all 4 atoms:
La 0.0000 0.0000 0.0000  4 La 3.54, 8 Ho 3.68
Ho 0.5000 0.5000 0.2989  4 Ga 3.10
Ho 0.5000 0.5000 0.7011  4 Ga 3.10
Ga 0.0000 0.0000 0.5000  8 Ho 3.10

***

Model three:
Density functional theory data (PBE-GGA) for a relaxed LaHo2Ga crystal.

Results
SG: No. 166

Cell lengths 11.4349, 11.4349, 11.4349 Å; angles 17.63, 17.63, 17.63 degrees
Closest atoms and distances in Å follow each position.
Fractional coordinates of all 4 atoms:
La 0.0000 0.0000 0.0000  2 Ho 3.47, 6 La 3.51
Ho 0.1029 0.1029 0.1029  3 Ga 2.96
Ho 0.8971 0.8971 0.8971  3 Ga 2.96
Ga 0.5000 0.5000 0.5000  6 Ho 2.96

***

Model four:
Density functional theory data (PBE-GGA) for a relaxed LaHo2Ga crystal.

Results
SG: No. 123

Cell lengths 4.8099, 4.8099, 4.7406 Å; angles 90.00, 90.00, 90.00 degrees
Closest atoms and distances in Å follow each position.
Fractional coordinates of all 4 atoms:
La 0.0000 0.0000 0.0000  8 Ho 3.38, 4 Ga 3.40
Ho 0.0000 0.5000 0.5000  4 La 3.38, 4 Ga 3.38, 4 Ho 3.40
Ho 0.5000 0.0000 0.5000  4 La 3.38, 4 Ga 3.38, 4 Ho 3.40
Ga 0.5000 0.5000 0.0000  8 Ho 3.38, 4 La 3.40

***

Most stable structure: model two

***

Model one:
Density functional theory data (PBE-GGA) for a relaxed LaHoGa crystal.

Results
SG: No. 156

Cell lengths 4.9878, 4.9878, 3.9685 Å; angles 90.00, 90.00, 120.00 degrees
Closest atoms and distances in Å follow each position.
Fractional coordinates of all 3 atoms:
La 0.0000 0.0000 0.0000  3 Ga 3.30, 6 Ho 3.41-3.59
Ho 0.3333 0.6667 0.4586  3 Ga 2.93
Ga 0.6667 0.3333 0.5945  3 Ho 2.93

***

Model two:
Density functional theory data (PBE-GGA) for a relaxed LaHoGa crystal.

Results
SG: No. 129

Cell lengths 4.7009, 4.7009, 7.8690 Å; angles 90.00, 90.00, 90.00 degrees
Closest atoms and distances in Å follow each position.
Fractional coordinates of all 6 atoms:
La 0.2500 0.2500 0.1413  5 Ga 3.11-3.44
La 0.7500 0.7500 0.8587  5 Ga 3.11-3.44
Ho 0.2500 0.7500 0.5000  4 Ga 3.04, 4 Ho 3.32
Ho 0.7500 0.2500 0.5000  4 Ga 3.04, 4 Ho 3.32
Ga 0.2500 0.2500 0.7458  4 Ho 3.04, 1 La 3.11
Ga 0.7500 0.7500 0.2542  4 Ho 3.04, 1 La 3.11

***

Most stable structure: model two

***

Model one:
Density functional theory data (PBE-GGA) for a relaxed LaHoGa crystal.

Results
SG: No. 216

Cell lengths 5.0772, 5.0772, 5.0772 Å; angles 60.00, 60.00, 60.00 degrees
Closest atoms and distances in Å follow each position.
Fractional coordinates of all 3 atoms:
La 0.0000 0.0000 0.0000  4 Ga 3.11
Ho 0.5000 0.5000 0.5000  4 Ga 3.11
Ga 0.7500 0.7500 0.7500  4 La 3.11, 4 Ho 3.11

***

Model two:
Density functional theory data (PBE-GGA) for a relaxed LaHoGa crystal.

Results
SG: No. 107

Cell lengths 7.1211, 7.1211, 7.1211 Å; angles 150.91, 150.91, 41.61 degrees
Closest atoms and distances in Å follow each position.
Fractional coordinates of all 3 atoms:
La 0.0000 0.0000 0.0000  4 Ga 3.27, 4 La 3.58
Ho 0.2856 0.2856 0.0000  4 Ga 3.06
Ga 0.6558 0.6558 0.0000  4 Ho 3.06, 4 La 3.27

***

Most stable structure: model two

***

Model one:
Density functional theory data (PBE-GGA) for a relaxed La2Ho3Ga4 crystal.

Results
SG: No. 14

Cell lengths 8.0488, 8.0506, 7.6875 Å; angles 90.00, 106.96, 90.00 degrees
Closest atoms and distances in Å follow each position.
Fractional coordinates of all 18 atoms:
La 0.1916 0.1785 0.0748  6 Ga 3.18-3.40
La 0.1916 0.3215 0.5748  6 Ga 3.18-3.40
La 0.8084 0.6785 0.4252  6 Ga 3.18-3.40
La 0.8084 0.8215 0.9252  6 Ga 3.18-3.40
Ho 0.2434 0.6755 0.2508  6 Ga 2.97-3.08
Ho 0.2434 0.8245 0.7508  6 Ga 2.97-3.08
Ho 0.5000 0.0000 0.5000  6 Ga 3.06-3.25
Ho 0.5000 0.5000 0.0000  6 Ga 3.06-3.25
Ho 0.7566 0.1755 0.2492  6 Ga 2.97-3.08
Ho 0.7566 0.3245 0.7492  6 Ga 2.97-3.08
Ga 0.0796 0.5329 0.8710  1 Ga 2.71, 2 Ho 2.97-3.01
Ga 0.0796 0.9671 0.3710  1 Ga 2.71, 2 Ho 2.97-3.01
Ga 0.4969 0.1172 0.8771  1 Ga 2.66
Ga 0.4969 0.3828 0.3771  1 Ga 2.66
Ga 0.5031 0.6172 0.6229  1 Ga 2.66
Ga 0.5031 0.8828 0.1229  1 Ga 2.66
Ga 0.9204 0.0329 0.6290  1 Ga 2.71, 2 Ho 2.97-3.01
Ga 0.9204 0.4671 0.1290  1 Ga 2.71, 2 Ho 2.97-3.01

***

Model two:
Density functional theory data (PBE-GGA) for a relaxed La2Ho3Ga4 crystal.

Results
SG: No. 64

Cell lengths 8.7565, 8.7565, 8.6119 Å; angles 90.00, 90.00, 133.35 degrees
Closest atoms and distances in Å follow each position.
Fractional coordinates of all 18 atoms:
La 0.1075 0.8925 0.9228  6 Ga 3.25-3.52
La 0.3925 0.6075 0.4228  6 Ga 3.25-3.52
La 0.6075 0.3925 0.5772  6 Ga 3.25-3.52
La 0.8925 0.1075 0.0772  6 Ga 3.25-3.52
Ho 0.0000 0.0000 0.5000  6 Ga 2.82-2.99
Ho 0.0335 0.4665 0.7500  5 Ga 2.90-3.08
Ho 0.4665 0.0335 0.2500  5 Ga 2.90-3.08
Ho 0.5000 0.5000 0.0000  6 Ga 2.82-2.99
Ho 0.5335 0.9665 0.7500  5 Ga 2.90-3.08
Ho 0.9665 0.5335 0.2500  5 Ga 2.90-3.08
Ga 0.1847 0.8153 0.5402  5 Ho 2.97-3.08
Ga 0.2141 0.2859 0.7500  3 Ho 2.82-2.90
Ga 0.2859 0.2141 0.2500  3 Ho 2.82-2.90
Ga 0.3153 0.6847 0.0402  5 Ho 2.97-3.08
Ga 0.6847 0.3153 0.9598  5 Ho 2.97-3.08
Ga 0.7141 0.7859 0.7500  3 Ho 2.82-2.90
Ga 0.7859 0.7141 0.2500  3 Ho 2.82-2.90
Ga 0.8153 0.1847 0.4598  5 Ho 2.97-3.08

***

Most stable structure: model one

***

Model one:
Density functional theory data (PBE-GGA) for a relaxed LaHoGaPd crystal.

Results
SG: No. 216

Cell lengths 5.1499, 5.1499, 5.1499 Å; angles 60.00, 60.00, 60.00 degrees
Closest atoms and distances in Å follow each position.
Fractional coordinates of all 4 atoms:
La 0.0000 0.0000 0.0000  4 Pd 3.15, 4 Ga 3.15
Ho 0.5000 0.5000 0.5000  4 Pd 3.15, 4 Ga 3.15
Ga 0.2500 0.2500 0.2500  4 La 3.15, 4 Ho 3.15
Pd 0.7500 0.7500 0.7500  4 Ho 3.15, 4 La 3.15

***

Model two:
Density functional theory data (PBE-GGA) for a relaxed LaHoGaPd crystal.

Results
SG: No. 38

Cell lengths 4.4902, 5.6409, 5.6409 Å; angles 44.48, 90.00, 90.00 degrees
Closest atoms and distances in Å follow each position.
Fractional coordinates of all 4 atoms:
La 0.0000 0.0000 0.0000  3 Pd 2.89-3.16, 4 Ga 3.20
Ho 0.5000 0.7169 0.7169  3 Ga 3.02-3.08, 4 Pd 3.16
Ga 0.5000 0.4215 0.4215  2 Pd 2.70, 2 Ho 3.02
Pd 0.0000 0.2771 0.2771  2 Ga 2.70, 1 La 2.89

***

Most stable structure: model two

***

Model one:
Density functional theory data (PBE-GGA) for a relaxed LaHoGaPt crystal.

Results
SG: No. 38

Cell lengths 4.4241, 6.0092, 6.0092 Å; angles 38.07, 90.00, 90.00 degrees
Closest atoms and distances in Å follow each position.
Fractional coordinates of all 4 atoms:
La 0.0000 0.0000 0.0000  3 Pt 3.09-3.25, 4 Ga 3.10
Ho 0.5000 0.2841 0.2841  4 Pt 3.02, 3 Ga 3.03-3.37
Ga 0.5000 0.5810 0.5810  2 Pt 2.77, 2 Ho 3.03, 4 La 3.10
Pt 0.0000 0.7277 0.7277  2 Ga 2.77, 4 Ho 3.02, 1 La 3.09

***

Model two:
Density functional theory data (PBE-GGA) for a relaxed LaHoGaPt crystal.

Results
SG: No. 216

Cell lengths 5.1353, 5.1353, 5.1353 Å; angles 60.00, 60.00, 60.00 degrees
Closest atoms and distances in Å follow each position.
Fractional coordinates of all 4 atoms:
La 0.0000 0.0000 0.0000  4 Ga 3.14, 4 Pt 3.14
Ho 0.5000 0.5000 0.5000  4 Pt 3.14, 4 Ga 3.14
Ga 0.7500 0.7500 0.7500  4 Ho 3.14, 4 La 3.14
Pt 0.2500 0.2500 0.2500  4 Ho 3.14, 4 La 3.14

***

Most stable structure: model one

***

Model one:
Density functional theory data (PBE-GGA) for a relaxed Li2HoGa2 crystal.

Results
SG: No. 74

Cell lengths 12.8881, 12.8881, 12.8881 Å; angles 164.42, 160.05, 25.41 degrees
Closest atoms and distances in Å follow each position.
Fractional coordinates of all 10 atoms:
Li 0.0445 0.2945 0.7500  2 Ga 2.61, 6 Li 2.84-2.85
Li 0.4426 0.1926 0.2500  2 Ga 2.75, 4 Li 2.85
Li 0.5574 0.8074 0.7500  2 Ga 2.75, 4 Li 2.85
Li 0.9555 0.7055 0.2500  2 Ga 2.61, 6 Li 2.84-2.85
Ho 0.3267 0.5767 0.7500  10 Ga 3.10-3.13, 2 Li 3.40
Ho 0.6733 0.4233 0.2500  10 Ga 3.10-3.13, 2 Li 3.40
Ga 0.1216 0.8716 0.2500  1 Ga 2.56, 4 Li 2.61-2.75
Ga 0.2235 0.9735 0.2500  3 Ga 2.56-2.60
Ga 0.7765 0.0265 0.7500  3 Ga 2.56-2.60
Ga 0.8784 0.1284 0.7500  1 Ga 2.56, 4 Li 2.61-2.75

***

Model two:
Density functional theory data (PBE-GGA) for a relaxed Li2HoGa2 crystal.

Results
SG: No. 59

Cell lengths 3.3551, 4.5483, 12.5172 Å; angles 90.00, 90.00, 90.00 degrees
Closest atoms and distances in Å follow each position.
Fractional coordinates of all 10 atoms:
Li 0.2500 0.2500 0.0196  4 Ga 2.75-2.83, 4 Li 2.87
Li 0.2500 0.7500 0.3647  5 Ga 2.59-2.73
Li 0.7500 0.2500 0.6353  5 Ga 2.59-2.73
Li 0.7500 0.7500 0.9804  4 Ga 2.75-2.83, 4 Li 2.87
Ho 0.2500 0.7500 0.7507  6 Ga 3.07-3.16, 6 Li 3.17-3.33, 2 Ho 3.36
Ho 0.7500 0.2500 0.2493  6 Ga 3.07-3.16, 6 Li 3.17-3.33, 2 Ho 3.36
Ga 0.2500 0.2500 0.4634  4 Li 2.59-2.73
Ga 0.2500 0.7500 0.1542  5 Li 2.63-2.83
Ga 0.7500 0.2500 0.8458  5 Li 2.63-2.83
Ga 0.7500 0.7500 0.5366  4 Li 2.59-2.73

***

Most stable structure: model one

***

Model one:
Density functional theory data (PBE-GGA) for a relaxed Li2HoGa6 crystal.

Results
SG: No. 191

Cell lengths 7.6096, 7.6096, 3.3997 Å; angles 90.00, 90.00, 120.00 degrees
Closest atoms and distances in Å follow each position.
Fractional coordinates of all 9 atoms:
Li 0.3333 0.6667 0.0000  12 Ga 3.04, 2 Li 3.40
Li 0.6667 0.3333 0.0000  12 Ga 3.04, 2 Li 3.40
Ho 0.0000 0.0000 0.0000  12 Ga 3.08, 2 Ho 3.40
Ga 0.0000 0.3374 0.5000  3 Ga 2.47-2.57
Ga 0.0000 0.6626 0.5000  3 Ga 2.47-2.57
Ga 0.3374 0.0000 0.5000  3 Ga 2.47-2.57
Ga 0.3374 0.3374 0.5000  3 Ga 2.47-2.57
Ga 0.6626 0.0000 0.5000  3 Ga 2.47-2.57
Ga 0.6626 0.6626 0.5000  3 Ga 2.47-2.57

***

Model two:
Density functional theory data (PBE-GGA) for a relaxed Li2HoGa6 crystal.

Results
SG: No. 71

Cell lengths 7.6632, 7.6632, 7.6632 Å; angles 154.15, 121.63, 64.89 degrees
Closest atoms and distances in Å follow each position.
Fractional coordinates of all 9 atoms:
Li 0.1298 0.1298 0.0000  10 Ga 2.72-3.04
Li 0.8702 0.8702 0.0000  10 Ga 2.72-3.04
Ho 0.5000 0.0000 0.5000  12 Ga 3.00-3.21
Ga 0.1388 0.3165 0.8222  4 Ga 2.63-2.66, 1 Li 2.76
Ga 0.1703 0.5000 0.6703  3 Ga 2.55-2.63, 4 Li 2.72
Ga 0.4943 0.3165 0.1778  4 Ga 2.63-2.66, 1 Li 2.76
Ga 0.5057 0.6835 0.8222  4 Ga 2.63-2.66, 1 Li 2.76
Ga 0.8297 0.5000 0.3297  3 Ga 2.55-2.63, 4 Li 2.72
Ga 0.8612 0.6835 0.1778  4 Ga 2.63-2.66, 1 Li 2.76

***

Most stable structure: model one